<i>
Crystalline Y6Er3In at its relaxed geometry, computed with GGA-PBE.

Computed properties:
Space group   P2_1/m, No. 11
Density of states at the Fermi level   15.27 states/eV/f.u.
Total magnetization   0.00 μB/f.u.

a = 5.567 Å, b = 9.504 Å, c = 12.817 Å
α = 114.97°, β = 90.00°, γ = 90.00°
Positions (direct):
1 Er 0.750 0.373 0.766
2 Er 0.250 0.627 0.234
3 Er 0.750 0.851 0.268
4 Er 0.250 0.149 0.732
5 Er 0.750 0.072 0.863
6 Er 0.250 0.928 0.137
7 Y 0.250 0.446 0.631
8 Y 0.250 0.834 0.829
9 Y 0.750 0.465 0.062
10 Y 0.750 0.767 0.965
11 Y 0.750 0.973 0.570
12 Y 0.250 0.027 0.430
13 Y 0.750 0.554 0.369
14 Y 0.250 0.535 0.938
15 Y 0.250 0.735 0.539
16 Y 0.250 0.233 0.035
17 Y 0.750 0.166 0.171
18 Y 0.750 0.265 0.461
19 In 0.250 0.332 0.336
20 In 0.750 0.668 0.664



<ii>
Crystalline Y6Er3In at its relaxed geometry, computed with GGA-PBE.

Computed properties:
Space group   R-3, No. 148
Density of states at the Fermi level   12.53 states/eV/f.u.
Total magnetization   0.00 μB/f.u.

a = 8.786 Å, b = 8.786 Å, c = 8.786 Å
α = 78.95°, β = 78.95°, γ = 78.95°
Positions (direct):
1 Y 0.825 0.532 0.533
2 Y 0.281 0.920 0.281
3 Y 0.281 0.281 0.920
4 Y 0.175 0.468 0.467
5 Y 0.468 0.467 0.175
6 Y 0.719 0.719 0.080
7 Y 0.719 0.080 0.719
8 Y 0.920 0.281 0.281
9 Y 0.080 0.719 0.719
10 Y 0.467 0.175 0.468
11 Y 0.532 0.533 0.825
12 Y 0.533 0.825 0.532
13 Er 0.897 0.371 0.898
14 Er 0.629 0.102 0.103
15 Er 0.371 0.898 0.897
16 Er 0.898 0.897 0.371
17 Er 0.102 0.103 0.629
18 Er 0.103 0.629 0.102
19 In 0.500 0.500 0.500
20 In 0.000 0.000 0.000



<i> (243 meV/atom below the next structure)